{"formula": "Al2PPb", "functional": "GGA-PBEsol", "state": "relaxed", "lattice": [[3.610, 0.000, 0.000], [-1.805, 3.126, 0.000], [0.000, 0.000, 21.498]], "species": ["Al", "Al", "Al", "Al", "Al", "Al", "P", "P", "P", "Pb", "Pb", "Pb"], "frac_coords": [[0.000, 0.000, 0.231], [0.000, 0.000, 0.769], [0.333, 0.667, 0.436], [0.333, 0.667, 0.897], [0.667, 0.333, 0.103], [0.667, 0.333, 0.564], [0.000, 0.000, 0.500], [0.333, 0.667, 0.167], [0.667, 0.333, 0.833], [0.000, 0.000, 0.000], [0.333, 0.667, 0.667], [0.667, 0.333, 0.333]], "delta_e_f_mev_per_atom": -83, "density_g_cm3": 6.00, "crystal_system": "trigonal", "e_above_lowest_polymorph_ev_per_atom": 0.000}

=====

{"formula": "Al2P4Pb", "functional": "GGA-PBEsol", "state": "relaxed", "lattice": [[3.514, -5.712, 0.000], [3.514, 5.712, 0.000], [-1.146, 0.000, 7.433]], "species": ["Al", "Al", "Al", "Al", "P", "P", "P", "P", "P", "P", "P", "P", "Pb", "Pb"], "frac_coords": [[0.124, 0.876, 0.500], [0.176, 0.700, 0.984], [0.700, 0.176, 0.484], [0.876, 0.124, 0.000], [0.069, 0.204, 0.526], [0.204, 0.069, 0.026], [0.352, 0.982, 0.263], [0.450, 0.847, 0.615], [0.536, 0.793, 0.888], [0.793, 0.536, 0.388], [0.847, 0.450, 0.115], [0.982, 0.352, 0.763], [0.367, 0.523, 0.324], [0.523, 0.367, 0.824]], "delta_e_f_mev_per_atom": -90, "density_g_cm3": 4.29, "crystal_system": "monoclinic"}

=====

{"formula": "Al2PPb", "functional": "GGA-PBEsol", "state": "relaxed", "lattice": [[3.745, 0.000, 0.000], [0.000, 4.016, 0.000], [0.000, 0.000, 6.008]], "species": ["Al", "Al", "P", "Pb"], "frac_coords": [[0.000, 0.000, 0.000], [0.500, 0.500, 0.028], [0.000, 0.500, 0.763], [0.500, 0.000, 0.391]], "delta_e_f_mev_per_atom": 48, "density_g_cm3": 5.37, "crystal_system": "orthorhombic", "e_above_lowest_polymorph_ev_per_atom": 0.131}

=====

{"formula": "SrAlPPb2", "functional": "GGA-PBEsol", "state": "relaxed", "lattice": [[5.152, 0.000, 0.000], [0.000, 5.152, 0.000], [0.000, 0.000, 5.943]], "species": ["Sr", "Al", "P", "Pb", "Pb"], "frac_coords": [[0.000, 0.000, 0.000], [0.000, 0.000, 0.500], [0.500, 0.500, 0.000], [0.000, 0.500, 0.500], [0.500, 0.000, 0.500]], "delta_e_f_mev_per_atom": 466, "density_g_cm3": 5.89, "crystal_system": "tetragonal"}

=====

{"formula": "AlP2PtW", "functional": "GGA-PBEsol", "state": "relaxed", "lattice": [[4.551, 0.000, 0.000], [0.000, 4.551, 0.000], [0.000, 0.000, 5.013]], "species": ["Al", "P", "P", "Pt", "W"], "frac_coords": [[0.000, 0.000, 0.000], [0.000, 0.500, 0.500], [0.500, 0.000, 0.500], [0.500, 0.500, 0.000], [0.500, 0.500, 0.500]], "delta_e_f_mev_per_atom": 660, "density_g_cm3": 7.48, "crystal_system": "tetragonal"}

=====

{"formula": "AlZnP2Pt", "functional": "GGA-PBEsol", "state": "relaxed", "lattice": [[4.446, 0.000, 0.000], [0.000, 4.446, 0.000], [0.000, 0.000, 4.718]], "species": ["Al", "Zn", "P", "P", "Pt"], "frac_coords": [[0.000, 0.000, 0.000], [0.500, 0.500, 0.500], [0.000, 0.500, 0.500], [0.500, 0.000, 0.500], [0.500, 0.500, 0.000]], "delta_e_f_mev_per_atom": 863, "density_g_cm3": 6.22, "crystal_system": "tetragonal"}

=====

{"formula": "RbAlP", "functional": "GGA-PBEsol", "state": "relaxed", "lattice": [[10.670, 0.000, 0.000], [0.000, 3.936, 0.000], [-4.147, 0.000, 7.193]], "species": ["Rb", "Rb", "Rb", "Rb", "Al", "Al", "Al", "Al", "P", "P", "P", "P"], "frac_coords": [[0.070, 0.000, 0.360], [0.430, 0.500, 0.640], [0.570, 0.500, 0.360], [0.930, 0.000, 0.640], [0.149, 0.500, 0.042], [0.351, 0.000, 0.958], [0.649, 0.000, 0.042], [0.851, 0.500, 0.958], [0.210, 0.500, 0.792], [0.290, 0.000, 0.208], [0.710, 0.000, 0.792], [0.790, 0.500, 0.208]], "delta_e_f_mev_per_atom": -440, "density_g_cm3": 3.15, "crystal_system": "monoclinic"}

=====

{"formula": "AlReP2", "functional": "GGA-PBEsol", "state": "relaxed", "lattice": [[3.822, 0.000, 0.000], [0.000, 3.108, 0.000], [-0.381, 0.000, 4.951]], "species": ["Al", "Re", "P", "P"], "frac_coords": [[0.000, 0.000, 0.000], [0.500, 0.500, 0.500], [0.000, 0.000, 0.500], [0.500, 0.500, 0.000]], "delta_e_f_mev_per_atom": 86, "density_g_cm3": 7.77, "crystal_system": "monoclinic"}